Version P
PtRh2 | Alexandria | PBE | relaxed; space-group type = P6/mmm, No. 191
1.0
1.576 3.716 1.711
-1.613 -0.025 -4.076
-2.456 0.596 0.969
Rh Pt
2 1
direct
0.667 0.333 0.000 Rh
0.333 0.667 0.000 Rh
0.000 0.000 0.500 Pt

Version Q
PtRh2 | Alexandria | PBE | relaxed; space-group type = P6_3/mmc, No. 194
1.0
2.761 2.300 -2.562
-4.346 0.728 -0.230
0.425 3.747 3.822
Rh Pt
4 2
direct
0.667 0.333 0.750 Rh
0.333 0.667 0.250 Rh
0.000 0.000 0.000 Rh
0.000 0.000 0.500 Rh
0.333 0.667 0.750 Pt
0.667 0.333 0.250 Pt

Ranked by calculated energy, most stable first: version P, version Q.

Version P
BeZnCl2 | Alexandria | PBE | relaxed; space-group type = Fm-3m, No. 225
1.0
-3.662 -2.482 1.398
-2.493 1.400 3.653
-4.292 1.649 -0.616
Cl Be Zn
2 1 1
direct
0.250 0.250 0.250 Cl
0.750 0.750 0.750 Cl
0.000 0.000 0.000 Be
0.500 0.500 0.500 Zn

Version Q
BeZnCl2 | Alexandria | PBE | relaxed; space-group type = R-3m, No. 166
1.0
-9.103 -5.494 1.179
-7.405 -6.842 3.576
-9.006 -4.081 4.084
Cl Be Zn
2 1 1
direct
0.127 0.127 0.127 Cl
0.873 0.873 0.873 Cl
0.500 0.500 0.500 Be
0.000 0.000 0.000 Zn

Ranked by calculated energy, most stable first: version Q, version P.

Version P
Mg2NiW | Alexandria | PBE | relaxed; space-group type = F-43m, No. 216
1.0
4.467 0.000 0.000
2.233 3.868 0.000
2.233 1.289 3.647
W Ni Mg
1 1 2
direct
0.750 0.750 0.750 W
0.500 0.500 0.500 Ni
0.000 0.000 0.000 Mg
0.250 0.250 0.250 Mg

Version Q
Mg2NiW | Alexandria | PBE | relaxed; space-group type = P4/mmm, No. 123
1.0
4.840 0.000 0.000
0.000 4.840 0.000
0.000 0.000 2.766
W Mg Ni
1 2 1
direct
0.000 0.500 0.500 W
0.000 0.000 0.000 Mg
0.500 0.500 0.000 Mg
0.500 0.000 0.500 Ni

Ranked by calculated energy, most stable first: version P, version Q.

Version P
HgTeCl2 | Alexandria | PBE | relaxed; space-group type = Cmmm, No. 65
1.0
5.528 -0.005 0.000
-1.803 5.225 0.000
0.000 0.000 3.345
Te Hg Cl
1 1 2
direct
0.000 0.500 0.500 Te
0.500 0.000 0.500 Hg
0.500 0.500 0.000 Cl
0.000 0.000 0.000 Cl

Version Q
HgTeCl2 | Alexandria | PBE | relaxed; space-group type = F-43m, No. 216
1.0
-3.856 -0.512 -3.339
-4.739 -0.985 1.688
-3.629 3.609 -0.298
Hg Cl Te
1 2 1
direct
0.500 0.500 0.500 Hg
0.000 0.000 0.000 Cl
0.250 0.250 0.250 Cl
0.750 0.750 0.750 Te

Ranked by calculated energy, most stable first: version P, version Q.

Version P
FeTc2Ag | Alexandria | PBE | relaxed; space-group type = F-43m, No. 216
1.0
4.381 0.000 0.000
2.190 3.794 0.000
2.190 1.265 3.577
Fe Ag Tc
1 1 2
direct
0.250 0.250 0.250 Fe
0.500 0.500 0.500 Ag
0.750 0.750 0.750 Tc
0.000 0.000 0.000 Tc

Version Q
FeTc2Ag | Alexandria | PBE | relaxed; space-group type = C2/m, No. 12
1.0
-3.766 2.581 -2.466
3.393 -2.742 -2.812
-1.532 -2.028 -0.503
Ag Tc Fe
1 2 1
direct
0.500 0.000 0.500 Ag
0.500 0.500 0.000 Tc
0.000 0.000 0.000 Tc
0.000 0.500 0.500 Fe

Ranked by calculated energy, most stable first: version Q, version P.